[1]
Computed, not measured: SrYC2O6 after structural relaxation at the GGA-PBE level of DFT.

Values from the calculation:
Raw total energy, eV per atom: -7.743
Symmetry: C2/c, No. 15
Formation energy from raw total energies, eV/atom: -2.11
Calculated volume, Å³/cell: 253.05
Fermi-level density of states, states/eV/f.u.: 1.76

Lattice parameters (Å, degrees): 6.3422 6.3422 6.8251 103.02 103.02 100.14
Each line ends with the local moment (μB).
Sites, in units of the cell vectors:
O 0.9269 0.3953 0.1773  0.02
O 0.7144 0.4808 0.6135  0.02
O 0.7896 0.8046 0.3852  0.03
O 0.8046 0.7896 0.8852  0.03
O 0.5192 0.2856 0.8865  0.02
O 0.2104 0.1954 0.6148  0.03
O 0.2856 0.5192 0.3865  0.02
O 0.4808 0.7144 0.1135  0.02
O 0.3953 0.9269 0.6773  0.02
O 0.1954 0.2104 0.1148  0.03
O 0.6047 0.0731 0.3227  0.02
O 0.0731 0.6047 0.8227  0.02
C 0.6429 0.8757 0.2590  0.17
C 0.3571 0.1243 0.7410  0.17
C 0.1243 0.3571 0.2410  0.17
C 0.8757 0.6429 0.7590  0.17
Y 0.4098 0.5902 0.7500  0.09
Y 0.5902 0.4098 0.2500  0.09
Sr 0.1433 0.8567 0.2500  0.02
Sr 0.8567 0.1433 0.7500  0.02

[2]
Computed, not measured: Ge3BRh after structural relaxation at the GGA-PBE level of DFT.

Values from the calculation:
DFT formation energy, eV/atom: 1.018
Raw total energy, eV per atom: -4.558
Excess energy over the best structure of this formula in the dataset, eV per formula unit: 1.76
Symmetry: Pm-3m, No. 221
Calculated volume, Å³/cell: 106.84
Fermi-level density of states, states/eV/f.u.: 2.86

Lattice parameters (Å, degrees): 4.7450 4.7450 4.7450 90.00 90.00 90.00
Sites, in units of the cell vectors:
B 0.5000 0.5000 0.5000
Ge 0.5000 0.0000 0.0000
Ge 0.0000 0.5000 0.0000
Ge 0.0000 0.0000 0.5000
Rh 0.0000 0.0000 0.0000